# 1
This record from the Alexandria database describes a relaxed SmGa2ReO8 crystal. The functional is PBE.

Unit cell a=4.813 b=4.813 c=6.671 alpha=96.06 beta=96.06 gamma=83.73
Element x y z (fractional)
1 Sm 0.000 0.000 0.000
2 Ga 0.456 0.456 0.781
3 Ga 0.544 0.544 0.219
4 Re 0.000 0.000 0.500
5 O 0.201 0.791 0.707
6 O 0.209 0.799 0.293
7 O 0.263 0.263 0.548
8 O 0.323 0.323 0.012
9 O 0.677 0.677 0.988
10 O 0.737 0.737 0.452
11 O 0.791 0.201 0.707
12 O 0.799 0.209 0.293

ΔE_f (raw) (eV per atom): -1.953
SG: C2/m

***

# 2
This record from the Alexandria database describes a relaxed KDyI4 crystal. The functional is PBE.

Unit cell a=7.913 b=7.913 c=8.846 alpha=100.95 beta=100.95 gamma=33.31
Element x y z (fractional)
1 K 0.000 0.000 0.000
2 Dy 0.500 0.500 0.500
3 I 0.117 0.117 0.403
4 I 0.381 0.381 0.186
5 I 0.619 0.619 0.814
6 I 0.883 0.883 0.597

ΔE_f (raw) (eV per atom): -1.409
SG: C2/m

***

# 3
This record from the Alexandria database describes a relaxed Sm5YTm6 crystal. The functional is PBE.

Unit cell a=9.404 b=9.404 c=9.404 alpha=148.92 beta=115.92 gamma=72.93
Element x y z (fractional)
1 Sm 0.000 0.000 0.000
2 Sm 0.167 0.667 0.500
3 Sm 0.334 0.334 0.000
4 Sm 0.666 0.666 0.000
5 Sm 0.833 0.333 0.500
6 Y 0.500 0.000 0.500
7 Tm 0.083 0.833 0.250
8 Tm 0.250 0.500 0.750
9 Tm 0.417 0.167 0.250
10 Tm 0.583 0.833 0.750
11 Tm 0.750 0.500 0.250
12 Tm 0.917 0.167 0.750

Calculated formation energy (eV per atom): 0.022
SG: Immm